No. 1
Below is a relaxed Er4Ga2C crystal, with properties calculated at the PBE level.

Computed properties:
Distance to the lowest polymorph of the same formula = 4.2 kJ/mol of atoms
Calculated volume = 164 Å³ per cell
DOS at the Fermi energy = 0.109 states/eV per atom
Space-group type = I4/mmm, No. 139
ΔE_f = -3.12 eV per formula unit

POSCAR file:
```
Er4Ga2C
1.0
-0.973 -4.661 0.756
4.713 -0.910 0.459
-2.310 4.004 6.333
C Ga Er
1 2 4
Cartesian
0.000 0.000 0.000 C
1.760 -2.482 2.333 Ga
-0.331 0.915 5.214 Ga
1.580 -1.984 5.172 Er
-0.151 0.417 2.375 Er
2.356 -0.455 0.229 Er
-0.487 -2.331 0.378 Er
```


No. 2
Below is a relaxed Er4Ga2C crystal, with properties calculated at the PBE level.

Computed properties:
Distance to the lowest polymorph of the same formula = 12.6 kJ/mol of atoms
Calculated volume = 315 Å³ per cell
DOS at the Fermi energy = 0.334 states/eV per atom
Space-group type = P2_1/m, No. 11
ΔE_f = -2.51 eV per formula unit

POSCAR file:
```
Er4Ga2C
1.0
-1.090 4.987 2.250
-1.589 -2.887 5.630
9.030 -3.095 0.962
Er Ga C
8 4 2
Cartesian
0.981 0.176 4.202 Er
6.879 -4.330 5.391 Er
-0.529 3.334 3.451 Er
0.209 -1.226 6.935 Er
4.043 1.853 3.982 Er
6.141 0.230 1.907 Er
5.369 -1.172 4.640 Er
2.307 -2.849 4.860 Er
-1.461 1.327 5.938 Ga
7.812 -2.323 2.904 Ga
3.254 -0.887 2.354 Ga
3.096 -0.109 6.488 Ga
0.098 -1.899 4.724 C
6.252 0.903 4.118 C
```


No. 3
Below is a relaxed Er2GaC crystal, with properties calculated at the PBE level.

Computed properties:
Calculated volume = 83 Å³ per cell
DOS at the Fermi energy = 0.844 states/eV per atom
Space-group type = R-3m, No. 166
ΔE_f = -1.62 eV per formula unit

POSCAR file:
```
Er2GaC
1.0
-1.414 3.203 0.543
-3.493 0.478 -0.353
-2.611 -0.452 7.430
C Ga Er
1 1 2
Cartesian
-3.759 1.615 3.810 C
0.000 0.000 0.000 Ga
-5.567 2.545 5.175 Er
-1.951 0.684 2.445 Er
```


No. 4
Below is a relaxed Er4Ga2C crystal, with properties calculated at the PBE level.

Computed properties:
Distance to the lowest polymorph of the same formula = 0.0 kJ/mol of atoms
Calculated volume = 155 Å³ per cell
DOS at the Fermi energy = 0.614 states/eV per atom
Space-group type = C2/m, No. 12
ΔE_f = -3.42 eV per formula unit

POSCAR file:
```
Er4Ga2C
1.0
-0.273 -3.682 -0.047
5.844 -2.277 -0.548
1.728 -2.067 6.821
C Ga Er
1 2 4
Cartesian
0.000 0.000 0.000 C
4.470 -4.087 4.164 Ga
2.830 -3.939 2.063 Ga
2.094 -2.063 4.409 Er
5.206 -5.963 1.817 Er
1.452 -1.962 0.272 Er
5.847 -6.063 5.954 Er
```


No. 5
Below is a relaxed Er12Ga6C crystal, with properties calculated at the PBE level.

Computed properties:
Calculated volume = 482 Å³ per cell
DOS at the Fermi energy = 0.727 states/eV per atom
Space-group type = R-3, No. 148
ΔE_f = -7.18 eV per formula unit

POSCAR file:
```
Er12Ga6C
1.0
-3.857 -6.511 2.118
6.410 -1.801 4.173
-3.149 4.366 5.724
Er Ga C
12 6 1
Cartesian
-0.811 -4.288 6.721 Er
1.569 -1.872 7.632 Er
-1.853 -1.087 7.720 Er
0.215 0.343 5.294 Er
-2.165 -2.073 4.383 Er
1.257 -2.858 4.295 Er
-4.147 -5.108 4.048 Er
0.834 -7.112 5.116 Er
-5.378 -0.625 6.938 Er
3.551 1.163 7.967 Er
-1.430 3.167 6.900 Er
4.782 -3.320 5.078 Er
2.188 -4.613 6.415 Ga
-1.038 -4.842 3.878 Ga
3.083 -0.723 5.434 Ga
-2.784 0.668 5.600 Ga
0.443 0.897 8.138 Ga
-3.678 -3.222 6.581 Ga
0.000 0.000 0.000 C
```


No. 6
Below is a relaxed Er4GaC crystal, with properties calculated at the PBE level.

Computed properties:
Calculated volume = 287 Å³ per cell
DOS at the Fermi energy = 0.648 states/eV per atom
Space-group type = Cmc2_1, No. 36
ΔE_f = -1.80 eV per formula unit

POSCAR file:
```
Er4GaC
1.0
-4.647 -1.292 0.905
1.902 -2.846 5.705
1.032 8.253 3.773
Er Ga C
8 2 2
Cartesian
-2.843 4.745 5.476 Er
1.239 -0.792 5.232 Er
0.590 4.497 9.449 Er
-1.527 -1.543 3.262 Er
-1.778 0.840 5.374 Er
-0.649 4.344 2.866 Er
-2.640 1.751 2.247 Er
0.218 3.426 6.009 Er
-1.778 2.841 8.231 Ga
0.262 0.979 2.743 Ga
-1.091 -1.443 5.645 C
-0.533 5.424 5.005 C
```


No. 7
Below is a relaxed Er4GaGeC crystal, with properties calculated at the PBE level.

Computed properties:
Calculated volume = 164 Å³ per cell
DOS at the Fermi energy = 0.727 states/eV per atom
Space-group type = I4mm, No. 107
ΔE_f = -3.70 eV per formula unit

POSCAR file:
```
Er4GaGeC
1.0
4.693 0.000 0.000
0.000 4.693 0.000
-2.347 -2.347 7.432
Er Ga Ge C
4 1 1 1
Cartesian
0.000 2.347 0.006 Er
2.347 0.000 0.006 Er
2.347 2.347 4.934 Er
0.000 0.000 2.503 Er
0.000 0.000 5.433 Ga
2.347 2.347 1.974 Ge
0.000 0.000 0.006 C
```


No. 8
Below is a relaxed Er4GaHgC crystal, with properties calculated at the PBE level.

Computed properties:
Calculated volume = 338 Å³ per cell
DOS at the Fermi energy = 0.855 states/eV per atom
Space-group type = Cmcm, No. 63
ΔE_f = -2.82 eV per formula unit

POSCAR file:
```
Er4GaHgC
1.0
6.826 0.000 0.000
0.000 6.828 0.000
-3.413 0.000 7.250
Er Ga Hg C
8 2 2 2
Cartesian
3.413 1.707 6.042 Er
0.000 5.121 6.109 Er
0.000 5.121 1.208 Er
3.413 1.707 1.140 Er
1.707 3.414 3.625 Er
-1.707 0.000 3.625 Er
1.707 0.000 3.625 Er
-1.707 3.414 3.625 Er
3.413 5.121 1.811 Ga
0.000 1.707 5.439 Ga
0.000 1.707 1.715 Hg
3.413 5.121 5.534 Hg
0.000 5.121 3.639 C
3.413 1.707 3.611 C
```


No. 9
Below is a relaxed Ho2ErGaC crystal, with properties calculated at the PBE level.

Computed properties:
Calculated volume = 112 Å³ per cell
DOS at the Fermi energy = 0.322 states/eV per atom
Space-group type = P4/mmm, No. 123
ΔE_f = -2.40 eV per formula unit

POSCAR file:
```
Ho2ErGaC
1.0
-3.685 3.083 0.053
-2.419 -2.838 -3.073
-1.941 -2.384 3.728
Ho Er Ga C
2 1 1 1
Cartesian
-0.970 -1.192 1.864 Ho
-1.210 -1.419 -1.537 Ho
-1.842 1.542 0.027 Er
-4.022 -1.069 0.354 Ga
0.000 0.000 0.000 C
```


No. 10
Below is a relaxed Er2Mn2Ga2C crystal, with properties calculated at the PBE level.

Computed properties:
Calculated volume = 114 Å³ per cell
DOS at the Fermi energy = 0.596 states/eV per atom
Space-group type = C2/m, No. 12
ΔE_f = -3.00 eV per formula unit

POSCAR file:
```
Er2Mn2Ga2C
1.0
3.587 -0.002 0.001
1.795 5.185 1.173
0.000 2.612 6.703
Er Mn Ga C
2 2 2 1
Cartesian
1.794 2.567 4.993 Er
3.589 5.228 2.884 Er
3.588 4.486 6.770 Mn
1.795 3.310 1.106 Mn
3.588 2.328 2.542 Ga
1.795 5.468 5.334 Ga
0.000 0.000 0.000 C
```


No. 11
Below is a relaxed Er2GaOsC crystal, with properties calculated at the PBE level.

Computed properties:
Calculated volume = 93 Å³ per cell
DOS at the Fermi energy = 0.467 states/eV per atom
Space-group type = P4/mmm, No. 123
ΔE_f = -2.25 eV per formula unit

POSCAR file:
```
Er2GaOsC
1.0
-0.086 0.721 -3.839
-2.191 -4.301 -0.759
-4.366 2.136 0.499
Er Ga Os C
2 1 1 1
Cartesian
-2.183 1.068 0.249 Er
-1.096 -2.150 -0.380 Er
-3.321 -0.721 -2.050 Ga
-0.043 0.361 -1.919 Os
0.000 0.000 0.000 C
```


No. 12
Below is a relaxed ErGaRu2C crystal, with properties calculated at the PBE level.

Computed properties:
Calculated volume = 158 Å³ per cell
DOS at the Fermi energy = 0.923 states/eV per atom
Space-group type = Cmcm, No. 63
ΔE_f = -1.87 eV per formula unit

POSCAR file:
```
ErGaRu2C
1.0
-0.481 -3.686 1.048
4.511 0.358 -3.788
4.625 0.988 5.601
Er Ga Ru C
2 2 4 2
Cartesian
7.364 -0.614 1.224 Er
1.291 -1.726 1.637 Er
5.222 -1.795 3.201 Ga
3.432 -0.545 -0.339 Ga
5.750 0.451 4.228 Ru
2.905 -2.791 -1.367 Ru
3.958 0.068 2.057 Ru
4.697 -2.408 0.804 Ru
0.000 0.000 0.000 C
2.312 0.494 2.801 C
```


No. 13
Below is a relaxed Er2Ga2Ru2C crystal, with properties calculated at the PBE level.

Computed properties:
Calculated volume = 123 Å³ per cell
DOS at the Fermi energy = 0.493 states/eV per atom
Space-group type = C2/m, No. 12
ΔE_f = -3.89 eV per formula unit

POSCAR file:
```
Er2Ga2Ru2C
1.0
-0.587 1.398 3.731
-5.702 1.092 0.867
-2.246 -4.406 3.471
Er Ga Ru C
2 2 2 1
Cartesian
-2.866 -2.172 4.710 Er
-5.669 0.256 3.359 Er
-3.017 -0.756 1.982 Ga
-5.518 -1.161 6.087 Ga
-6.116 -2.966 4.496 Ru
-2.419 1.049 3.573 Ru
0.000 0.000 0.000 C
```


No. 14
Below is a relaxed Er2Ga2Ru4C crystal, with properties calculated at the PBE level.

Computed properties:
Calculated volume = 144 Å³ per cell
DOS at the Fermi energy = 0.429 states/eV per atom
Space-group type = I4/mmm, No. 139
ΔE_f = -1.77 eV per formula unit

POSCAR file:
```
Er2Ga2Ru4C
1.0
5.846 0.001 0.002
-2.805 5.129 -0.002
-2.805 -1.804 4.802
Er Ga Ru C
2 2 4 1
Cartesian
-3.999 2.371 3.422 Er
-1.611 0.955 1.378 Er
0.118 3.397 1.200 Ga
0.118 -0.070 3.602 Ga
-2.805 3.480 1.141 Ru
-1.211 2.535 3.659 Ru
-2.805 -0.155 3.659 Ru
1.446 0.791 1.142 Ru
0.000 0.000 0.000 C
```


No. 15
Below is a relaxed ErGa2Ru2C crystal, with properties calculated at the PBE level.

Computed properties:
Calculated volume = 93 Å³ per cell
DOS at the Fermi energy = 0.449 states/eV per atom
Space-group type = P4/mmm, No. 123
ΔE_f = -2.26 eV per formula unit

POSCAR file:
```
ErGa2Ru2C
1.0
-3.201 1.878 -1.721
-1.200 -3.550 -1.642
-3.038 -1.055 4.500
Er Ga Ru C
1 2 2 1
Cartesian
-1.519 -0.528 2.250 Er
-4.380 -1.593 1.546 Ga
-3.059 -1.134 -0.410 Ga
-1.601 0.939 -0.861 Ru
-0.600 -1.775 -0.821 Ru
0.000 0.000 0.000 C
```


No. 16
Below is a relaxed Er8Ga3CS3 crystal, with properties calculated at the PBE level.

Computed properties:
Uncorrected formation energy = -1.0476 eV per atom
Calculated volume = 353 Å³ per cell
DOS at the Fermi energy = 0.440 states/eV per atom
Space-group type = C2/m, No. 12

POSCAR file:
```
Er8Ga3CS3
1.0
-0.128 7.362 1.715
-6.324 -3.454 -2.316
2.663 -1.754 7.733
Er Ga C S
8 3 1 3
Cartesian
-2.559 -0.358 1.342 Er
-1.230 2.512 5.789 Er
-2.863 3.297 2.296 Er
-0.926 -1.143 4.835 Er
0.603 5.190 3.564 Er
-4.391 -3.035 3.567 Er
0.672 1.157 2.624 Er
-4.461 0.997 4.507 Er
0.000 0.000 0.000 Ga
-3.162 -1.727 -1.158 Ga
-3.226 1.954 -0.301 Ga
1.331 -0.877 3.866 C
1.267 2.804 4.724 S
-1.894 1.077 3.566 S
-1.831 -2.604 2.708 S
```


No. 17
Below is a relaxed Er4GaSbC crystal, with properties calculated at the PBE level.

Computed properties:
Uncorrected formation energy = -0.6513 eV per atom
Calculated volume = 342 Å³ per cell
DOS at the Fermi energy = 0.160 states/eV per atom
Space-group type = Cmcm, No. 63

POSCAR file:
```
Er4GaSbC
1.0
-3.103 5.889 -0.301
-2.489 -1.617 -5.964
-4.628 -6.027 3.565
Er Ga Sb C
8 2 2 2
Cartesian
-7.324 -0.029 1.204 Er
-6.902 -3.724 -1.691 Er
-2.896 -1.726 -3.905 Er
-3.318 1.970 -1.010 Er
-5.110 -0.877 -1.350 Er
-2.314 -3.013 1.782 Er
-3.866 -0.069 1.632 Er
-3.558 -3.822 -1.200 Er
-2.056 -1.119 -0.699 Ga
-8.165 -0.635 -2.002 Ga
-4.752 1.067 -3.887 Sb
-5.469 -2.821 1.186 Sb
-4.947 -2.749 -2.771 C
-5.273 0.994 0.071 C
```


No. 18
Below is a relaxed SmEr2GaC crystal, with properties calculated at the PBE level.

Computed properties:
Calculated volume = 116 Å³ per cell
DOS at the Fermi energy = 0.345 states/eV per atom
Space-group type = P4/mmm, No. 123
ΔE_f = -2.13 eV per formula unit

POSCAR file:
```
SmEr2GaC
1.0
-3.984 -3.010 0.195
1.666 -2.450 -3.794
2.381 -2.960 2.957
Sm Er Ga C
1 2 1 1
Cartesian
-1.992 -1.505 0.097 Sm
1.190 -1.480 1.478 Er
0.833 -1.225 -1.897 Er
0.031 -4.210 -0.321 Ga
0.000 0.000 0.000 C
```


No. 19
Below is a relaxed Sm2ErGaC crystal, with properties calculated at the PBE level.

Computed properties:
Calculated volume = 120 Å³ per cell
DOS at the Fermi energy = 0.431 states/eV per atom
Space-group type = P4/mmm, No. 123
ΔE_f = -1.84 eV per formula unit

POSCAR file:
```
Sm2ErGaC
1.0
4.808 0.000 0.000
0.000 5.003 0.000
0.000 0.000 5.003
Sm Er Ga C
2 1 1 1
Cartesian
0.000 0.000 2.501 Sm
0.000 2.501 0.000 Sm
2.404 0.000 0.000 Er
2.404 2.501 2.501 Ga
0.000 0.000 0.000 C
```


No. 20
Below is a relaxed Er4GaSnC crystal, with properties calculated at the PBE level.

Computed properties:
Calculated volume = 344 Å³ per cell
DOS at the Fermi energy = 0.608 states/eV per atom
Space-group type = Cmcm, No. 63
ΔE_f = -3.73 eV per formula unit

POSCAR file:
```
Er4GaSnC
1.0
-5.795 -3.379 0.160
3.249 -5.471 2.126
1.826 3.872 7.175
Er Ga Sn C
8 2 2 2
Cartesian
-2.979 -1.237 6.661 Er
1.558 -2.313 7.544 Er
2.258 -3.740 2.800 Er
-2.278 -2.665 1.917 Er
-0.360 -2.489 4.731 Er
0.913 1.936 3.588 Er
-1.985 0.247 3.668 Er
2.537 -0.799 4.650 Er
0.560 -0.855 2.235 Ga
-1.281 -4.123 7.226 Ga
-0.699 -5.309 3.283 Sn
-0.022 0.331 6.178 Sn
1.905 -3.021 5.191 C
-2.626 -1.956 4.271 C
```